Below is a geometry-optimized Cu2Si2Rh structure, with properties calculated at the GGA-PBE level.

Values from the calculation:
* symmetry: P4/mbm, No. 127
* theoretical density: 7.24 g cm⁻³
* size of the total moment: 0.00 μB/f.u.
* formation energy (no corrections): 0.20 eV per formula unit

The structure in CIF format:
```
data_Cu2Si2Rh
_space_group_name_H-M_alt 'P 1'
_space_group_IT_number 1
_space_group_name_Hall 'P 1'
_cell_length_a 6.7121
_cell_length_b 6.7121
_cell_length_c 2.9134
_cell_angle_alpha 90.00
_cell_angle_beta 90.00
_cell_angle_gamma 90.00
loop_
_atom_site_label
_atom_site_type_symbol
_atom_site_fract_x
_atom_site_fract_y
_atom_site_fract_z
_atom_site_occupancy
Cu1 Cu 0.1252 0.3748 0.0000 1
Cu2 Cu 0.3748 0.8748 0.0000 1
Cu3 Cu 0.6252 0.1252 0.0000 1
Cu4 Cu 0.8748 0.6252 0.0000 1
Si1 Si 0.1772 0.6772 0.5000 1
Si2 Si 0.3228 0.1772 0.5000 1
Si3 Si 0.6772 0.8228 0.5000 1
Si4 Si 0.8228 0.3228 0.5000 1
Rh1 Rh 0.0000 0.0000 0.0000 1
Rh2 Rh 0.5000 0.5000 0.0000 1
```

---

Below is a geometry-optimized BaPtBr2 structure, with properties calculated at the GGA-PBE level.

Values from the calculation:
* symmetry: I-42d, No. 122
* theoretical density: 6.23 g cm⁻³
* size of the total moment: 0.00 μB/f.u.
* formation energy (no corrections): -3.20 eV per formula unit

The structure in CIF format:
```
data_BaPtBr2
_space_group_name_H-M_alt 'P 1'
_space_group_IT_number 1
_space_group_name_Hall 'P 1'
_cell_length_a 5.4767
_cell_length_b 5.4767
_cell_length_c 17.5048
_cell_angle_alpha 90.00
_cell_angle_beta 90.00
_cell_angle_gamma 90.00
loop_
_atom_site_label
_atom_site_type_symbol
_atom_site_fract_x
_atom_site_fract_y
_atom_site_fract_z
_atom_site_occupancy
Ba1 Ba 0.0000 0.0000 0.0000 1
Ba2 Ba 0.0000 0.5000 0.2500 1
Ba3 Ba 0.5000 0.0000 0.7500 1
Ba4 Ba 0.5000 0.5000 0.5000 1
Pt1 Pt 0.0000 0.0000 0.5000 1
Pt2 Pt 0.0000 0.5000 0.7500 1
Pt3 Pt 0.5000 0.0000 0.2500 1
Pt4 Pt 0.5000 0.5000 0.0000 1
Br1 Br 0.1730 0.2500 0.6250 1
Br2 Br 0.2500 0.6730 0.8750 1
Br3 Br 0.2500 0.8270 0.3750 1
Br4 Br 0.3270 0.2500 0.1250 1
Br5 Br 0.6730 0.7500 0.1250 1
Br6 Br 0.7500 0.1730 0.3750 1
Br7 Br 0.7500 0.3270 0.8750 1
Br8 Br 0.8270 0.7500 0.6250 1
```

---

Below is a geometry-optimized Tl2Ag2PtO6 structure, with properties calculated at the GGA-PBE level.

Values from the calculation:
* symmetry: C2/m, No. 12
* theoretical density: 8.04 g cm⁻³
* size of the total moment: 0.00 μB/f.u.
* formation energy (no corrections): -5.43 eV per formula unit

The structure in CIF format:
```
data_Tl2Ag2PtO6
_space_group_name_H-M_alt 'P 1'
_space_group_IT_number 1
_space_group_name_Hall 'P 1'
_cell_length_a 5.8651
_cell_length_b 5.8651
_cell_length_c 6.3262
_cell_angle_alpha 92.87
_cell_angle_beta 92.87
_cell_angle_gamma 119.15
loop_
_atom_site_label
_atom_site_type_symbol
_atom_site_fract_x
_atom_site_fract_y
_atom_site_fract_z
_atom_site_occupancy
Tl1 Tl 0.1622 0.8378 0.0000 1
Tl2 Tl 0.8378 0.1622 0.0000 1
Ag1 Ag 0.3521 0.6479 0.5000 1
Ag2 Ag 0.6479 0.3521 0.5000 1
Pt1 Pt 0.5000 0.5000 0.0000 1
O1 O 0.1897 0.1897 0.8375 1
O2 O 0.2319 0.5310 0.1729 1
O3 O 0.4690 0.7681 0.8271 1
O4 O 0.5310 0.2319 0.1729 1
O5 O 0.7681 0.4690 0.8271 1
O6 O 0.8103 0.8103 0.1625 1
```

---

Below is a geometry-optimized Si2BAs structure, with properties calculated at the GGA-PBE level.

Values from the calculation:
* symmetry: I-42d, No. 122
* theoretical density: 3.56 g cm⁻³
* size of the total moment: 0.00 μB/f.u.
* formation energy (no corrections): -0.22 eV per formula unit

The structure in CIF format:
```
data_Si2BAs
_space_group_name_H-M_alt 'P 1'
_space_group_IT_number 1
_space_group_name_Hall 'P 1'
_cell_length_a 5.1164
_cell_length_b 5.1164
_cell_length_c 10.1031
_cell_angle_alpha 90.00
_cell_angle_beta 90.00
_cell_angle_gamma 90.00
loop_
_atom_site_label
_atom_site_type_symbol
_atom_site_fract_x
_atom_site_fract_y
_atom_site_fract_z
_atom_site_occupancy
Si1 Si 0.1856 0.2500 0.1250 1
Si2 Si 0.2500 0.6856 0.3750 1
Si3 Si 0.2500 0.8144 0.8750 1
Si4 Si 0.3144 0.2500 0.6250 1
Si5 Si 0.6856 0.7500 0.6250 1
Si6 Si 0.7500 0.1856 0.8750 1
Si7 Si 0.7500 0.3144 0.3750 1
Si8 Si 0.8144 0.7500 0.1250 1
B1 B 0.0000 0.0000 0.0000 1
B2 B 0.0000 0.5000 0.2500 1
B3 B 0.5000 0.0000 0.7500 1
B4 B 0.5000 0.5000 0.5000 1
As1 As 0.0000 0.0000 0.5000 1
As2 As 0.0000 0.5000 0.7500 1
As3 As 0.5000 0.0000 0.2500 1
As4 As 0.5000 0.5000 0.0000 1
```

---

Below is a geometry-optimized Ac4Tl2N structure, with properties calculated at the GGA-PBE level.

Values from the calculation:
* symmetry: Pnma, No. 62
* theoretical density: 8.62 g cm⁻³
* size of the total moment: 0.00 μB/f.u.
* formation energy (no corrections): -3.74 eV per formula unit

The structure in CIF format:
```
data_Ac4Tl2N
_space_group_name_H-M_alt 'P 1'
_space_group_IT_number 1
_space_group_name_Hall 'P 1'
_cell_length_a 9.5385
_cell_length_b 7.7062
_cell_length_c 13.9426
_cell_angle_alpha 90.00
_cell_angle_beta 90.00
_cell_angle_gamma 90.00
loop_
_atom_site_label
_atom_site_type_symbol
_atom_site_fract_x
_atom_site_fract_y
_atom_site_fract_z
_atom_site_occupancy
Ac1 Ac 0.0473 0.2500 0.0641 1
Ac2 Ac 0.1493 0.2500 0.5604 1
Ac3 Ac 0.2169 0.0102 0.3145 1
Ac4 Ac 0.2169 0.4898 0.3145 1
Ac5 Ac 0.2831 0.5102 0.8145 1
Ac6 Ac 0.2831 0.9898 0.8145 1
Ac7 Ac 0.3507 0.7500 0.0604 1
Ac8 Ac 0.4527 0.7500 0.5641 1
Ac9 Ac 0.5473 0.2500 0.4359 1
Ac10 Ac 0.6493 0.2500 0.9396 1
Ac11 Ac 0.7169 0.0102 0.1855 1
Ac12 Ac 0.7169 0.4898 0.1855 1
Ac13 Ac 0.7831 0.5102 0.6855 1
Ac14 Ac 0.7831 0.9898 0.6855 1
Ac15 Ac 0.8507 0.7500 0.4396 1
Ac16 Ac 0.9527 0.7500 0.9359 1
Tl1 Tl 0.0075 0.7500 0.1727 1
Tl2 Tl 0.1035 0.7500 0.6280 1
Tl3 Tl 0.3965 0.2500 0.1280 1
Tl4 Tl 0.4925 0.2500 0.6727 1
Tl5 Tl 0.5075 0.7500 0.3273 1
Tl6 Tl 0.6035 0.7500 0.8720 1
Tl7 Tl 0.8965 0.2500 0.3720 1
Tl8 Tl 0.9925 0.2500 0.8273 1
N1 N 0.2039 0.7500 0.9189 1
N2 N 0.2961 0.2500 0.4189 1
N3 N 0.7039 0.7500 0.5811 1
N4 N 0.7961 0.2500 0.0811 1
```

---

Below is a geometry-optimized Cu2NiRu structure, with properties calculated at the GGA-PBE level.

Values from the calculation:
* symmetry: R3m, No. 160
* theoretical density: 9.62 g cm⁻³
* ΔH_f (0 K): 0.5 eV/f.u.
* size of the total moment: 0.00 μB/f.u.

The structure in CIF format:
```
data_Cu2NiRu
_space_group_name_H-M_alt 'P 1'
_space_group_IT_number 1
_space_group_name_Hall 'P 1'
_cell_length_a 2.6160
_cell_length_b 2.6160
_cell_length_c 25.0664
_cell_angle_alpha 90.00
_cell_angle_beta 90.00
_cell_angle_gamma 120.00
loop_
_atom_site_label
_atom_site_type_symbol
_atom_site_fract_x
_atom_site_fract_y
_atom_site_fract_z
_atom_site_occupancy
Cu1 Cu 0.0000 0.0000 0.0000 1
Cu2 Cu 0.0000 0.0000 0.2510 1
Cu3 Cu 0.3333 0.6667 0.6667 1
Cu4 Cu 0.3333 0.6667 0.9177 1
Cu5 Cu 0.6667 0.3333 0.3333 1
Cu6 Cu 0.6667 0.3333 0.5844 1
Ni1 Ni 0.0000 0.0000 0.7476 1
Ni2 Ni 0.3333 0.6667 0.4143 1
Ni3 Ni 0.6667 0.3333 0.0810 1
Ru1 Ru 0.0000 0.0000 0.4964 1
Ru2 Ru 0.3333 0.6667 0.1631 1
Ru3 Ru 0.6667 0.3333 0.8298 1
```

---

Below is a geometry-optimized Te2Pb structure, with properties calculated at the GGA-PBE level.

Values from the calculation:
* symmetry: I4_1/amd, No. 141
* theoretical density: 7.21 g cm⁻³
* size of the total moment: 0.00 μB/f.u.
* formation energy (no corrections): -0.30 eV per formula unit

The structure in CIF format:
```
data_Te2Pb
_space_group_name_H-M_alt 'P 1'
_space_group_IT_number 1
_space_group_name_Hall 'P 1'
_cell_length_a 4.3236
_cell_length_b 4.3236
_cell_length_c 22.7870
_cell_angle_alpha 90.00
_cell_angle_beta 90.00
_cell_angle_gamma 90.00
loop_
_atom_site_label
_atom_site_type_symbol
_atom_site_fract_x
_atom_site_fract_y
_atom_site_fract_z
_atom_site_occupancy
Te1 Te 0.0000 0.2500 0.3101 1
Te2 Te 0.0000 0.2500 0.4399 1
Te3 Te 0.0000 0.7500 0.5601 1
Te4 Te 0.0000 0.7500 0.6899 1
Te5 Te 0.5000 0.2500 0.0601 1
Te6 Te 0.5000 0.2500 0.1899 1
Te7 Te 0.5000 0.7500 0.8101 1
Te8 Te 0.5000 0.7500 0.9399 1
Pb1 Pb 0.0000 0.2500 0.8750 1
Pb2 Pb 0.0000 0.7500 0.1250 1
Pb3 Pb 0.5000 0.2500 0.6250 1
Pb4 Pb 0.5000 0.7500 0.3750 1
```

---

Below is a geometry-optimized Ce4HoZn5 structure, with properties calculated at the GGA-PBE level.

Values from the calculation:
* symmetry: P4/mmm, No. 123
* theoretical density: 7.87 g cm⁻³
* ΔH_f (0 K): -2.1 eV/f.u.
* size of the total moment: 0.08 μB/f.u.

The structure in CIF format:
```
data_Ce4HoZn5
_space_group_name_H-M_alt 'P 1'
_space_group_IT_number 1
_space_group_name_Hall 'P 1'
_cell_length_a 3.2162
_cell_length_b 3.2162
_cell_length_c 21.4806
_cell_angle_alpha 90.00
_cell_angle_beta 90.00
_cell_angle_gamma 90.00
loop_
_atom_site_label
_atom_site_type_symbol
_atom_site_fract_x
_atom_site_fract_y
_atom_site_fract_z
_atom_site_occupancy
Ce1 Ce 0.0000 0.0000 0.1015 1
Ce2 Ce 0.0000 0.0000 0.3048 1
Ce3 Ce 0.0000 0.0000 0.6952 1
Ce4 Ce 0.0000 0.0000 0.8985 1
Ho1 Ho 0.0000 0.0000 0.5000 1
Zn1 Zn 0.5000 0.5000 0.0000 1
Zn2 Zn 0.5000 0.5000 0.2029 1
Zn3 Zn 0.5000 0.5000 0.4057 1
Zn4 Zn 0.5000 0.5000 0.5943 1
Zn5 Zn 0.5000 0.5000 0.7971 1
```